[1]
Compound: InIrSe2
Source: the Alexandria database
Functional: PBE
Structure: relaxed

Properties
- Raw formation energy: -0.04 eV per atom
- ρ: 8.0 g/cm³

Cell: 4.180 3.405 6.844 Å, 90.00 97.43 90.00°
Space group Pm (No. 6)
Inequivalent atoms, fractional coordinates:
In 0.000 0.000 0.000
Ir 0.449 0.500 0.865
Se 0.339 0.000 0.612
Se 0.695 0.500 0.226

=====

[2]
Compound: Ac8Ru3PtCl4
Source: the Alexandria database
Functional: PBE
Structure: relaxed

Properties
- Raw formation energy: -1.08 eV per atom
- ρ: 7.9 g/cm³

Cell: 8.6147 8.6147 24.0056 Å, 90.00 90.00 120.00°
Space group R-3m (No. 166, hexagonal axes)
Inequivalent atoms, fractional coordinates:
Ac 0.0000 0.0000 0.2348
Ac 0.0093 0.5046 0.7657
Ru 0.0000 0.5000 0.5000
Pt 0.0000 0.0000 0.5000
Cl 0.0000 0.0000 0.0000
Cl 0.0000 0.5000 0.0000

=====

[3]
Compound: ZrNb2BMo
Source: the Alexandria database
Functional: PBE
Structure: relaxed

Properties
- Calculated formation energy: 0.012 eV per atom
- ρ: 7.4 g/cm³

Cell: 4.545 4.545 4.154 Å, 90.00 90.00 90.00°
Space group P4/mmm (No. 123)
Inequivalent atoms, fractional coordinates:
Zr 0.000 0.000 0.000
Nb 0.000 0.500 0.500
B 0.500 0.500 0.500
Mo 0.500 0.500 0.000